Material: TaTlMoO6
Method: DFT, PBE with a Hubbard U
State: relaxed

The structure belongs to space group P3 (No. 143); the cell edges are 5.3510, 5.3510 and 6.1703 Å and the angles 90.00°, 90.00° and 120.00°. The inequivalent atoms are Ta at (0.0000, 0.0000, 0.0000), Tl at (0.6667, 0.3333, 0.4469), Mo at (0.3333, 0.6667, 0.9268), O at (0.0693, 0.3457, 0.1433) and O at (0.0686, 0.7332, 0.7802).

The value obtained for the total magnetization is 0.00 μB/f.u. Its density of states at the Fermi level is 0.000 states/eV/f.u. The calculation puts the uncorrected energy at -68.56 eV per cell. The volume comes out at 153 Å³ per cell.